Record 1
Compound: GaCoSe2Br
Source: Alexandria via LeMat-Bulk
Functional: PBE
Structure: relaxed

Calculated values
Total DFT energy (no corrections) = -3.11 eV per atom
DOS at the Fermi energy = 0.81 states/eV/atom
ΔE_f (raw) = 0.6435 eV/atom
E above lowest polymorph = 567 meV per atom
Crystal system = tetragonal

a = 5.006 Å, b = 5.006 Å, c = 5.068 Å
α = 90.00°, β = 90.00°, γ = 90.00°
Space group P4/mmm (No. 123)
One atom of each set of equivalent atoms:
Ga (0.000, 0.000, 0.000) (multiplicity 1)
Co (0.500, 0.500, 0.500) (multiplicity 1)
Se (0.000, 0.500, 0.000) (multiplicity 2)
Br (0.000, 0.000, 0.500) (multiplicity 1)

Record 2
Compound: Ho2ZnCd5
Source: Alexandria via LeMat-Bulk
Functional: PBE
Structure: relaxed

Calculated values
Total DFT energy (no corrections) = -1.92 eV per atom
Calculated formation energy = -0.04 eV/atom
DOS at the Fermi energy = 0.69 states/eV/atom
Crystal system = trigonal

a = 4.6399 Å, b = 4.6399 Å, c = 32.6726 Å
α = 90.00°, β = 90.00°, γ = 120.00°
Space group R-3m (No. 166, hexagonal axes)
One atom of each set of equivalent atoms:
Ho (0.0000, 0.0000, 0.0899) (multiplicity 6)
Zn (0.0000, 0.0000, 0.0000) (multiplicity 3)
Cd (0.0000, 0.0000, 0.1966) (multiplicity 6)
Cd (0.0000, 0.0000, 0.3622) (multiplicity 6)
Cd (0.0000, 0.0000, 0.5000) (multiplicity 3)

Record 3
Compound: Te3PI
Source: Alexandria via LeMat-Bulk
Functional: PBE
Structure: relaxed

Calculated values
Total DFT energy (no corrections) = -3.12 eV per atom
DOS at the Fermi energy = 0.38 states/eV/atom
ΔE_f (raw) = 0.1550 eV/atom
E above lowest polymorph = 0 meV per atom
Crystal system = triclinic

a = 6.272 Å, b = 7.752 Å, c = 8.097 Å
α = 72.93°, β = 87.49°, γ = 89.45°
Space group P1 (No. 1)
One atom of each set of equivalent atoms:
Te (0.000, 0.000, 0.000) (multiplicity 1)
Te (0.027, 0.492, 0.544) (multiplicity 1)
Te (0.292, 0.203, 0.504) (multiplicity 1)
Te (0.488, 0.998, 0.013) (multiplicity 1)
Te (0.524, 0.520, 0.526) (multiplicity 1)
Te (0.752, 0.466, 0.013) (multiplicity 1)
P (0.273, 0.926, 0.787) (multiplicity 1)
P (0.766, 0.285, 0.808) (multiplicity 1)
I (0.248, 0.489, 0.035) (multiplicity 1)
I (0.706, 0.905, 0.504) (multiplicity 1)